Here is TaAlAs after structural relaxation from the Alexandria database. Energies are from GGA-PBE.

Output
For the volume, the calculation gives 17.5 A^3/atom. The electronic total energy is -7.022 eV per atom. The formation energy comes out at -0.27 eV per atom.

Cell and atoms, written as CIF:
```
data_TaAlAs
_symmetry_space_group_name_H-M 'P 1'
_symmetry_Int_Tables_number 1
_cell_length_a 3.5961
_cell_length_b 3.5961
_cell_length_c 8.1084
_cell_angle_alpha 90.00
_cell_angle_beta 90.00
_cell_angle_gamma 90.00
loop_
_symmetry_equiv_pos_as_xyz
'x,y,z'
loop_
_atom_site_label
_atom_site_type_symbol
_atom_site_fract_x
_atom_site_fract_y
_atom_site_fract_z
Ta1 Ta 0.2500 0.2500 0.2299
Ta2 Ta 0.7500 0.7500 0.7701
Al1 Al 0.2500 0.7500 0.5000
Al2 Al 0.7500 0.2500 0.5000
As1 As 0.2500 0.2500 0.8813
As2 As 0.7500 0.7500 0.1187
```



Here is TaAl3As after structural relaxation from the Alexandria database. Energies are from GGA-PBE.

Output
For the volume, the calculation gives 25.5 A^3/atom. The electronic total energy is -4.451 eV per atom. The formation energy comes out at 1.09 eV per atom.

Cell and atoms, written as CIF:
```
data_TaAl3As
_symmetry_space_group_name_H-M 'P 1'
_symmetry_Int_Tables_number 1
_cell_length_a 5.0317
_cell_length_b 5.0317
_cell_length_c 5.0317
_cell_angle_alpha 90.00
_cell_angle_beta 90.00
_cell_angle_gamma 90.00
loop_
_symmetry_equiv_pos_as_xyz
'x,y,z'
loop_
_atom_site_label
_atom_site_type_symbol
_atom_site_fract_x
_atom_site_fract_y
_atom_site_fract_z
Ta1 Ta 0.0000 0.0000 0.0000
Al1 Al 0.0000 0.0000 0.5000
Al2 Al 0.0000 0.5000 0.0000
Al3 Al 0.5000 0.0000 0.0000
As1 As 0.5000 0.5000 0.5000
```



Here is TaAlAs2 after structural relaxation from the Alexandria database. Energies are from GGA-PBE.

Output
For the volume, the calculation gives 17.9 A^3/atom. The electronic total energy is -6.213 eV per atom. The formation energy comes out at 0.01 eV per atom.

Cell and atoms, written as CIF:
```
data_TaAlAs2
_symmetry_space_group_name_H-M 'P 1'
_symmetry_Int_Tables_number 1
_cell_length_a 4.8146
_cell_length_b 4.8146
_cell_length_c 4.9804
_cell_angle_alpha 94.74
_cell_angle_beta 94.74
_cell_angle_gamma 38.53
loop_
_symmetry_equiv_pos_as_xyz
'x,y,z'
loop_
_atom_site_label
_atom_site_type_symbol
_atom_site_fract_x
_atom_site_fract_y
_atom_site_fract_z
Ta1 Ta 0.0000 0.0000 0.0000
Al1 Al 0.5000 0.5000 0.5000
As1 As 0.2766 0.2766 0.7856
As2 As 0.7234 0.7234 0.2144
```



Here is TaAlAs after structural relaxation from the Alexandria database. Energies are from GGA-PBE.

Output
For the volume, the calculation gives 16.6 A^3/atom. The electronic total energy is -6.947 eV per atom. The formation energy comes out at -0.20 eV per atom.

Cell and atoms, written as CIF:
```
data_TaAlAs
_symmetry_space_group_name_H-M 'P 1'
_symmetry_Int_Tables_number 1
_cell_length_a 4.9808
_cell_length_b 4.9808
_cell_length_c 5.1023
_cell_angle_alpha 102.86
_cell_angle_beta 102.86
_cell_angle_gamma 118.93
loop_
_symmetry_equiv_pos_as_xyz
'x,y,z'
loop_
_atom_site_label
_atom_site_type_symbol
_atom_site_fract_x
_atom_site_fract_y
_atom_site_fract_z
Ta1 Ta 0.1199 0.8801 0.7500
Ta2 Ta 0.8801 0.1199 0.2500
Al1 Al 0.4646 0.5354 0.7500
Al2 Al 0.5354 0.4646 0.2500
As1 As 0.2126 0.7874 0.2500
As2 As 0.7874 0.2126 0.7500
```



Here is TaAlAs2 after structural relaxation from the Alexandria database. Energies are from GGA-PBE.

Output
For the volume, the calculation gives 17.8 A^3/atom. The electronic total energy is -6.379 eV per atom. The formation energy comes out at -0.16 eV per atom.

Cell and atoms, written as CIF:
```
data_TaAlAs2
_symmetry_space_group_name_H-M 'P 1'
_symmetry_Int_Tables_number 1
_cell_length_a 3.4792
_cell_length_b 4.8464
_cell_length_c 4.8519
_cell_angle_alpha 106.88
_cell_angle_beta 104.32
_cell_angle_gamma 104.05
loop_
_symmetry_equiv_pos_as_xyz
'x,y,z'
loop_
_atom_site_label
_atom_site_type_symbol
_atom_site_fract_x
_atom_site_fract_y
_atom_site_fract_z
Ta1 Ta 0.0000 0.0000 0.0000
Al1 Al 0.2670 0.5396 0.5379
As1 As 0.6569 0.4316 0.0131
As2 As 0.6591 0.0136 0.4320
```



Here is TaAlAs after structural relaxation from the Alexandria database. Energies are from GGA-PBE.

Output
For the volume, the calculation gives 17.4 A^3/atom. The electronic total energy is -6.719 eV per atom. The formation energy comes out at 0.03 eV per atom.

Cell and atoms, written as CIF:
```
data_TaAlAs
_symmetry_space_group_name_H-M 'P 1'
_symmetry_Int_Tables_number 1
_cell_length_a 4.5983
_cell_length_b 4.5983
_cell_length_c 2.8453
_cell_angle_alpha 90.00
_cell_angle_beta 90.00
_cell_angle_gamma 120.00
loop_
_symmetry_equiv_pos_as_xyz
'x,y,z'
loop_
_atom_site_label
_atom_site_type_symbol
_atom_site_fract_x
_atom_site_fract_y
_atom_site_fract_z
Ta1 Ta 0.0000 0.0000 0.0000
Al1 Al 0.6667 0.3333 0.5000
As1 As 0.3333 0.6667 0.0000
```